A relaxed ZnCdI2N crystal. Source: the Alexandria database, functional PBE.

a b c (Å): 6.075 6.075 4.316
angles (deg): 90.00 90.00 90.00
Fractional coordinates of all 5 atoms:
Zn (0.000, 0.000, 0.000)
Cd (0.500, 0.500, 0.500)
I (0.000, 0.500, 0.500)
I (0.500, 0.000, 0.500)
N (0.500, 0.500, 0.000)

For the final energy, the calculation gives -1.976 eV per atom. The density of states at the Fermi level is 3.03 states/eV/cell. The formation energy (no corrections) is 0.747 eV/atom. The excess energy over the best structure of this formula in the dataset comes out at 0.257 eV per atom. As for the space group: P4/mmm (123).